Sc2TlCu3S5: optimized geometry, PBEsol.

Calculated values
Its calculated volume is 17.638 A^3/atom. As for the total energy: -5.688 eV/atom.

Cell: 6.972 6.972 15.445 Å, 90.00 90.00 148.88°
Sites, in units of the cell vectors:
Sc  0.192  0.808  0.593
Sc  0.192  0.808  0.907
Sc  0.808  0.192  0.093
Sc  0.808  0.192  0.407
Tl  0.067  0.933  0.250
Tl  0.933  0.067  0.750
Cu  0.353  0.647  0.250
Cu  0.414  0.586  0.537
Cu  0.414  0.586  0.963
Cu  0.586  0.414  0.037
Cu  0.586  0.414  0.463
Cu  0.647  0.353  0.750
S  0.174  0.826  0.071
S  0.174  0.826  0.429
S  0.245  0.755  0.750
S  0.438  0.562  0.115
S  0.438  0.562  0.385
S  0.562  0.438  0.615
S  0.562  0.438  0.885
S  0.755  0.245  0.250
S  0.826  0.174  0.571
S  0.826  0.174  0.929